1.
PBE-GGA NaLaMg6O8, optimized geometry; energy relative to the elements, uncorrected = -40.5 eV per formula unit; total energy = -95.98 eV/cell
1.0
-3.9658 -0.9527 1.9116
1.7704 -3.7214 1.8183
2.3973 4.7201 7.3259
Mg O Na La
6 8 1 1
Cartesian
1.5357 -0.5800 2.8969
1.1987 2.3600 3.6630
2.6321 1.5787 6.2474
-0.2360 2.9630 6.2940
0.1010 0.0230 5.5279
-1.3325 0.8043 2.9435
2.0839 0.4993 4.5721
0.6468 1.0977 7.1959
0.6552 1.2900 2.0023
1.7421 3.4300 5.3237
-1.9829 -0.4763 0.9558
-0.7842 1.8837 4.6188
0.8852 -1.8607 0.9092
-0.4449 -1.0517 3.8599
-1.0977 -2.3371 1.8650
0.0000 0.0000 0.0000


2.
PBE-GGA SrMgH8Ir2, optimized geometry; total energy = -50.63 eV/cell
1.0
4.8913 0.0000 0.0000
2.4456 4.2360 0.0000
2.4456 1.4120 5.8560
H Ir Sr Mg
8 2 1 1
Cartesian
4.1192 1.7412 0.8377
5.4430 1.6140 5.0182
5.6633 3.9068 5.0182
3.5675 2.9512 5.0182
2.4456 1.4120 2.2926
7.3369 4.2360 3.5634
6.2150 2.6968 0.8377
4.3396 4.0340 0.8377
7.3369 4.2360 5.2415
2.4456 1.4120 0.6145
4.8913 2.8240 2.9280
0.0000 0.0000 0.0000


3.
PBE-GGA Tb2Co2Ru, optimized geometry; total energy = -67.49 eV/cell
1.0
5.1840 0.0131 0.1410
2.3543 4.6186 0.1410
1.2799 0.7864 7.7155
Tb Ru Co
4 2 4
Cartesian
5.6588 4.2409 6.7117
3.1595 1.1772 1.2858
3.1178 2.6797 5.1435
5.7005 2.7384 2.8540
3.0338 4.2301 2.0699
5.7845 1.1880 5.9276
1.8582 1.9042 7.7408
6.9601 3.5139 0.2567
1.8985 0.4039 3.8831
6.9198 5.0142 4.1145


4.
PBE-GGA LiAlFe, optimized geometry; total energy = -14.11 eV/cell
1.0
-0.3706 -2.7938 -5.7387
1.4071 -4.2981 -4.5191
-1.8357 -1.8365 0.4105
Li Al Fe
1 1 1
Cartesian
0.0869 -5.3545 -6.7308
1.0050 -7.0342 -10.1407
-0.8546 -3.6317 -3.2337


5.
PBE-GGA RbHfGe2S, optimized geometry; energy relative to the elements, uncorrected = 11.2 eV per formula unit; total energy = -13.09 eV/cell
1.0
5.4152 0.0000 0.0000
0.0000 5.3484 0.0000
0.0000 0.0000 5.4152
S Ge Hf Rb
1 2 1 1
Cartesian
2.7076 2.6742 2.7076
2.7076 0.0000 0.0000
0.0000 0.0000 2.7076
0.0000 2.6742 0.0000
0.0000 0.0000 0.0000


6.
PBE-GGA Er6AsC2S3, optimized geometry; energy relative to the elements, uncorrected = -17.4 eV per formula unit; total energy = -80.27 eV/cell
1.0
3.7751 0.0000 0.0000
0.0000 7.7478 0.2476
-1.8875 -2.2605 8.0381
As Er S C
1 6 3 2
Cartesian
1.8875 0.0000 0.0000
1.8875 3.5265 7.9536
0.0000 1.9176 5.3033
1.8875 0.1545 2.7851
1.8875 3.5697 2.9824
0.0000 5.3328 5.5007
0.0000 1.9608 0.3322
1.8875 -0.2268 5.4594
0.0000 5.7141 2.8264
1.8875 3.8739 0.1238
0.0000 1.8546 2.8123
1.8875 3.6327 5.4735


7.
PBE-GGA Cs2CeTc2N6, optimized geometry; energy relative to the elements, uncorrected = -3.5 eV per formula unit; total energy = -81.84 eV/cell
1.0
6.4180 0.0000 0.0000
-3.2090 5.5545 -0.2288
0.0000 -3.4438 6.4857
Ce N Tc Cs
1 6 2 2
Cartesian
3.2090 -1.7219 3.2429
1.4943 -0.7921 1.8494
3.2089 0.3168 4.5065
4.9240 -0.7921 1.8497
1.7148 2.9028 4.4074
0.0001 1.7939 1.7504
-1.7149 2.9028 4.4072
0.0001 0.0532 1.3753
3.2090 2.0575 4.8816
3.2091 1.8924 0.9813
-0.0001 0.2183 5.2755


8.
PBE-GGA MgAg2Os, optimized geometry; total energy = -16.94 eV/cell
1.0
5.7351 0.0053 0.0105
2.9885 4.8949 -0.0105
-3.6693 -3.6828 2.4216
Mg Os Ag
1 1 2
Cartesian
3.2138 -0.6137 1.2160
1.8404 1.8311 1.2056
4.3286 2.4315 0.0000
0.0331 0.0186 0.0000